Entry 1:
This record from Alexandria via LeMat-Bulk describes a relaxed Tb4HoEr7 crystal. The functional is PBE.

a = 6.4481 Å, b = 6.7267 Å, c = 8.9562 Å
α = 85.45°, β = 76.84°, γ = 81.75°
With the nearest neighbours (Å) after each atom.
Fractional coordinates of all 12 atoms:
Tb: 0.1386 0.3083 0.2850  8 Er 3.27-3.64, 1 Ho 3.35, 2 Tb 3.46-3.48
Tb: 0.3387 0.8826 0.6913  7 Er 3.35-3.63, 2 Tb 3.46-3.48
Tb: 0.6613 0.1174 0.3087  7 Er 3.35-3.63, 2 Tb 3.46-3.48
Tb: 0.8614 0.6917 0.7150  8 Er 3.27-3.64, 1 Ho 3.35, 2 Tb 3.46-3.48
Ho: 0.5000 0.5000 0.0000  2 Tb 3.35, 4 Er 3.36-3.44
Er: 0.0142 0.2515 0.9490  5 Er 3.32-3.50, 4 Tb 3.35-3.64, 1 Ho 3.44
Er: 0.1840 0.7996 0.3585  5 Er 3.35-3.66, 4 Tb 3.42-3.49
Er: 0.3104 0.3929 0.6132  5 Er 3.23-3.56, 5 Tb 3.27-3.58
Er: 0.5000 0.0000 0.0000  4 Tb 3.35-3.60, 2 Ho 3.36, 4 Er 3.45-3.66
Er: 0.6896 0.6071 0.3868  5 Er 3.23-3.56, 5 Tb 3.27-3.58
Er: 0.8160 0.2004 0.6415  5 Er 3.35-3.66, 4 Tb 3.42-3.49
Er: 0.9858 0.7485 0.0510  5 Er 3.32-3.50, 4 Tb 3.35-3.64, 1 Ho 3.44

E: -4.50 eV per atom
DOS(E_F): 1.6465 states/eV per atom
crystal system: triclinic

Entry 2:
This record from Alexandria via LeMat-Bulk describes a relaxed Tb6HoEr4 crystal. The functional is PBE.

a = 5.5602 Å, b = 5.5602 Å, c = 25.4368 Å
α = 90.00°, β = 90.00°, γ = 118.57°
With the nearest neighbours (Å) after each atom.
Fractional coordinates of all 22 atoms:
Tb: 0.0000 0.0000 0.0000  8 Er 3.12-3.48
Tb: 0.0000 0.0000 0.5000  8 Er 3.12-3.48
Tb: 0.0317 0.9683 0.7500  3 Ho 3.20-3.25, 2 Er 3.26
Tb: 0.3047 0.6953 0.1036  5 Er 3.26-3.54
Tb: 0.3047 0.6953 0.3964  5 Er 3.26-3.54
Tb: 0.3648 0.6352 0.6818  7 Tb 3.47-3.83, 4 Er 3.50-3.61, 3 Ho 3.62-3.70
Tb: 0.3648 0.6352 0.8182  7 Tb 3.47-3.83, 4 Er 3.50-3.61, 3 Ho 3.62-3.70
Tb: 0.6352 0.3648 0.1818  7 Tb 3.47-3.83, 4 Er 3.50-3.61, 3 Ho 3.62-3.70
Tb: 0.6352 0.3648 0.3182  7 Tb 3.47-3.83, 4 Er 3.50-3.61, 3 Ho 3.62-3.70
Tb: 0.6953 0.3047 0.6036  5 Er 3.26-3.54
Tb: 0.6953 0.3047 0.8964  5 Er 3.26-3.54
Tb: 0.9683 0.0317 0.2500  3 Ho 3.20-3.25, 2 Er 3.26
Ho: 0.3034 0.6966 0.2500  3 Tb 3.20-3.25
Ho: 0.6966 0.3034 0.7500  3 Tb 3.20-3.25
Er: 0.0347 0.9653 0.6219  5 Tb 3.12-3.28
Er: 0.0347 0.9653 0.8781  5 Tb 3.12-3.28
Er: 0.3459 0.6541 0.5431  8 Tb 3.38-3.75, 2 Er 3.59-3.67
Er: 0.3459 0.6541 0.9569  8 Tb 3.38-3.75, 2 Er 3.59-3.67
Er: 0.6541 0.3459 0.0431  8 Tb 3.38-3.75, 2 Er 3.59-3.67
Er: 0.6541 0.3459 0.4569  8 Tb 3.38-3.75, 2 Er 3.59-3.67
Er: 0.9653 0.0347 0.1219  5 Tb 3.12-3.28
Er: 0.9653 0.0347 0.3781  5 Tb 3.12-3.28

E: -4.47 eV per atom
DOS(E_F): 1.7651 states/eV per atom
energy above the most stable polymorph in this dataset: 0 meV per atom
crystal system: orthorhombic

Entry 3:
This record from Alexandria via LeMat-Bulk describes a relaxed Tb5Ho2Er2 crystal. The functional is PBE.

a = 7.9031 Å, b = 7.9031 Å, c = 7.8980 Å
α = 107.48°, β = 107.48°, γ = 36.81°
With the nearest neighbours (Å) after each atom.
Fractional coordinates of all 9 atoms:
Tb: 0.0000 0.0000 0.0000  2 Ho 3.53, 6 Tb 3.53-3.54, 4 Er 3.53
Tb: 0.2222 0.2222 0.3340  6 Tb 3.52-3.54, 3 Er 3.53, 3 Ho 3.53-3.54
Tb: 0.3333 0.3333 0.9996  7 Tb 3.53-3.54, 2 Er 3.54, 3 Ho 3.54
Tb: 0.6667 0.6667 0.0004  7 Tb 3.53-3.54, 2 Er 3.54, 3 Ho 3.54
Tb: 0.7778 0.7778 0.6660  6 Tb 3.52-3.54, 3 Er 3.53, 3 Ho 3.53-3.54
Ho: 0.1105 0.1105 0.6661  1 Ho 3.52, 4 Er 3.52, 7 Tb 3.53-3.54
Ho: 0.8895 0.8895 0.3339  1 Ho 3.52, 4 Er 3.52, 7 Tb 3.53-3.54
Er: 0.4447 0.4447 0.6659  1 Er 3.52, 4 Ho 3.52, 7 Tb 3.53-3.54
Er: 0.5553 0.5553 0.3341  1 Er 3.52, 4 Ho 3.52, 7 Tb 3.53-3.54

E: -4.59 eV per atom
DOS(E_F): 1.2563 states/eV per atom
energy above the most stable polymorph in this dataset: 0 meV per atom
crystal system: monoclinic